First-principles (PBE) data for a relaxed Rb3CoPd crystal, as listed in Alexandria.

Calculated formation energy: 0.78 eV/atom
Space-group type: No. 221
Total energy: -2.261 eV/atom

```
Rb3CoPd
1.0
6.4291 0.0000 0.0000
0.0000 6.4291 0.0000
0.0000 0.0000 6.4291
Rb Co Pd
3 1 1
Cartesian
0.0000 0.0000 3.2146
0.0000 3.2146 0.0000
3.2146 0.0000 0.0000
3.2146 3.2146 3.2146
0.0000 0.0000 0.0000
```

First-principles (PBE) data for a relaxed Rb2CoPdSe4 crystal, as listed in Alexandria.

Space-group type: No. 70
E_form (uncorrected): -0.563 eV per atom
Total energy: -4.085 eV/atom

```
Rb2CoPdSe4
1.0
0.0000 6.9188 11.3651
2.9214 0.0000 11.3651
2.9214 6.9188 0.0000
Rb Co Pd Se
4 2 2 8
Cartesian
2.1910 5.1891 1.3376
3.6517 8.6485 7.0202
2.1910 5.1891 15.7100
3.6517 8.6485 21.3925
2.1910 5.1891 8.5238
3.6517 8.6485 14.2063
0.7303 1.7297 2.8413
5.1124 12.1079 19.8889
3.4743 3.8952 7.1611
3.4743 6.4830 9.8865
4.9350 7.3546 15.5691
4.9350 9.9424 12.8436
0.9077 3.8952 9.8865
0.9077 6.4830 7.1611
2.3684 7.3546 12.8436
2.3684 9.9424 15.5691
```

First-principles (PBE) data for a relaxed RbCoPdSe2 crystal, as listed in Alexandria.

Space-group type: No. 10
E_form (uncorrected): -0.477 eV per atom
Total energy: -4.524 eV/atom

```
RbCoPdSe2
1.0
4.2354 0.0000 0.0000
0.0000 3.6894 0.0000
-0.0090 0.0000 7.3042
Rb Co Pd Se
1 1 1 2
Cartesian
0.0000 0.0000 0.0000
2.1132 0.0000 3.6521
-0.0045 1.8447 3.6521
2.1139 1.8447 2.1203
2.1125 1.8447 5.1840
```

First-principles (PBE) data for a relaxed RbTa2CoPd crystal, as listed in Alexandria.

Calculated formation energy: 1.40 eV/atom
Space-group type: No. 123
Total energy: -5.998 eV/atom

```
RbTa2CoPd
1.0
4.5616 0.0000 0.0000
0.0000 4.5616 0.0000
0.0000 0.0000 5.8377
Rb Ta Co Pd
1 2 1 1
Cartesian
0.0000 0.0000 0.0000
0.0000 2.2808 2.9189
2.2808 0.0000 2.9189
0.0000 0.0000 2.9189
2.2808 2.2808 0.0000
```

First-principles (PBE) data for a relaxed RbVCo2Pd crystal, as listed in Alexandria.

Calculated formation energy: 0.99 eV/atom
Space-group type: No. 123
Total energy: -4.904 eV/atom

```
RbVCo2Pd
1.0
4.4304 0.0000 0.0000
0.0000 4.4304 0.0000
0.0000 0.0000 4.9556
Rb V Co Pd
1 1 2 1
Cartesian
0.0000 0.0000 0.0000
2.2152 2.2152 2.4778
0.0000 2.2152 2.4778
2.2152 0.0000 2.4778
2.2152 2.2152 0.0000
```

First-principles (PBE) data for a relaxed CoRePd crystal, as listed in Alexandria.

Calculated formation energy: 0.30 eV/atom
Space-group type: No. 12
Total energy: -7.951 eV/atom

```
CoRePd
1.0
8.5794 0.0000 0.0000
0.0000 2.6271 0.0000
-3.9022 0.0000 7.5603
Co Re Pd
4 4 4
Cartesian
1.2293 0.0000 0.5265
-0.8418 1.3135 7.0338
5.5190 1.3135 0.5265
3.4479 0.0000 7.0338
-0.8318 1.3135 4.4270
1.2193 0.0000 3.1333
3.4579 0.0000 4.4270
5.5090 1.3135 3.1333
-0.7668 1.3135 1.6942
1.1543 0.0000 5.8661
3.5229 0.0000 1.6942
5.4440 1.3135 5.8661
```